Record 1
DFT (PBE) results for K2PaAu2Se6 after structural relaxation.

```
K2PaAu2Se6
1.0
7.204 -3.010 0.000
7.204 3.010 0.000
-4.789 0.000 7.922
K Pa Au Se
2 1 2 6
Cartesian
1.937 0.000 1.604
7.681 0.000 6.318
-2.395 0.000 3.961
2.494 0.000 5.492
7.124 0.000 2.430
5.255 1.524 1.576
0.190 0.000 4.668
4.363 1.524 6.346
5.255 -1.524 1.576
9.428 0.000 3.254
4.363 -1.524 6.346
```

Space group: C2/m
Uncorrected formation energy in eV per atom: -0.7062
M_tot in μB per atom: 0.0000

---

Record 2
DFT (PBE) results for Rb4PuBr5 after structural relaxation.

```
Rb4PuBr5
1.0
-5.423 5.423 3.620
5.423 -5.423 3.620
5.423 5.423 -3.620
Rb Pu Br
4 1 5
Cartesian
7.636 1.025 0.000
1.025 3.211 0.000
4.398 2.212 3.620
-2.212 4.398 3.620
0.000 0.000 3.575
0.000 0.000 0.588
4.461 2.458 0.028
2.966 -0.962 3.648
2.458 6.386 0.028
0.962 2.966 3.648
```

Space group: I4
Uncorrected formation energy in eV per atom: -1.4370
M_tot in μB per atom: 0.6540

---

Record 3
DFT (PBE) results for TbDy6Er2Th after structural relaxation.

```
TbDy6Er2Th
1.0
4.638 -7.451 0.000
4.638 7.451 0.000
-0.798 0.000 9.257
Tb Dy Er Th
2 12 4 2
Cartesian
4.039 6.132 6.943
4.438 -6.132 2.314
3.446 5.737 3.598
2.537 3.310 1.710
5.430 5.737 1.031
3.651 2.612 5.183
4.426 2.612 8.703
6.340 3.310 2.918
2.137 -3.310 6.339
4.050 -2.612 0.554
4.826 -2.612 4.074
3.047 -5.737 8.226
5.940 -3.310 7.547
5.031 -5.737 5.659
1.542 0.762 8.751
1.941 -0.762 4.123
6.536 0.762 5.134
6.935 -0.762 0.506
4.438 0.523 2.314
4.039 -0.523 6.943
```

Formation enthalpy at 0 K in eV/atom: 0.150
Space group: C2/c
M_tot in μB per atom: 0.0005

---

Record 4
DFT (PBE) results for SiAs2Au after structural relaxation.

```
SiAs2Au
1.0
1.463 0.845 9.709
-1.463 0.845 9.709
0.000 -1.690 9.709
Si As Au
1 2 1
Cartesian
0.000 0.000 0.000
0.000 0.000 7.470
0.000 0.000 21.657
0.000 0.000 14.563
```

Space group: R-3m
Uncorrected formation energy in eV per atom: 0.4227
M_tot in μB per atom: 0.0000

---

Mass density in kg/m³, matching the order above: 5689, 3842, 8828, 8643